No. 1
First-principles (meta-GGA SCAN) data for a crystal of Mn4P3O12 relaxed with PBEsol, as listed in Alexandria via LeMat-Bulk.

Lattice parameters (Å, degrees): 6.2873 9.7311 16.1969 90.00 90.00 90.00
Site moments in Bohr magnetons follow the coordinates.
Fractional coordinates of all 76 atoms:
Mn 0.5000 0.4841 0.3580  4.45
Mn 0.0000 0.4494 0.9064  4.04
Mn 0.2474 0.7580 0.3004  4.52
Mn 0.7474 0.2580 0.1996  4.52
Mn 0.2526 0.7420 0.8004  4.52
Mn 0.0000 0.9841 0.1420  4.45
Mn 0.5000 0.9494 0.5936  4.04
Mn 0.0000 0.0159 0.8580  4.45
Mn 0.7526 0.7580 0.3004  4.52
Mn 0.5000 0.0506 0.4064  4.04
Mn 0.0000 0.5506 0.0936  4.04
Mn 0.7474 0.7420 0.8004  4.52
Mn 0.7526 0.2420 0.6996  4.52
Mn 0.2526 0.2580 0.1996  4.52
Mn 0.5000 0.5159 0.6420  4.45
Mn 0.2474 0.2420 0.6996  4.52
O 0.7068 0.9065 0.1865  0.04
O 0.7966 0.0959 0.3838  0.03
O 0.0000 0.3712 0.0185  0.04
O 0.3062 0.3317 0.5873  0.07
O 0.8062 0.1683 0.0873  0.07
O 0.7068 0.0935 0.8135  0.04
O 0.2932 0.0935 0.8135  0.04
O 0.7966 0.9041 0.6162  0.03
O 0.5000 0.3944 0.1760  0.07
O 0.5000 0.6462 0.5516  0.04
O 0.2034 0.9041 0.6162  0.03
O 0.2068 0.5935 0.6865  0.04
O 0.5000 0.8712 0.4815  0.04
O 0.0000 0.1462 0.9484  0.04
O 0.5000 0.0885 0.6845  0.01
O 0.5000 0.1246 0.2259  0.06
O 0.6938 0.3317 0.5873  0.07
O 0.0000 0.3754 0.7259  0.06
O 0.0000 0.4115 0.1845  0.01
O 0.5000 0.6056 0.8240  0.07
O 0.0000 0.5885 0.8155  0.01
O 0.0000 0.1232 0.2495  0.06
O 0.7034 0.5959 0.1162  0.03
O 0.3062 0.6683 0.4127  0.07
O 0.0000 0.1056 0.6760  0.07
O 0.2068 0.4065 0.3135  0.04
O 0.1938 0.8317 0.9127  0.07
O 0.5000 0.8754 0.7741  0.06
O 0.0000 0.8538 0.0516  0.04
O 0.5000 0.9115 0.3155  0.01
O 0.7932 0.5935 0.6865  0.04
O 0.2932 0.9065 0.1865  0.04
O 0.0000 0.6246 0.2741  0.06
O 0.0000 0.8768 0.7505  0.06
O 0.2966 0.4041 0.8838  0.03
O 0.7932 0.4065 0.3135  0.04
O 0.0000 0.8944 0.3240  0.07
O 0.8062 0.8317 0.9127  0.07
O 0.5000 0.3768 0.7495  0.06
O 0.5000 0.6232 0.2505  0.06
O 0.7034 0.4041 0.8838  0.03
O 0.5000 0.1288 0.5185  0.04
O 0.1938 0.1683 0.0873  0.07
O 0.6938 0.6683 0.4127  0.07
O 0.2034 0.0959 0.3838  0.03
O 0.0000 0.6288 0.9815  0.04
O 0.5000 0.3538 0.4484  0.04
O 0.2966 0.5959 0.1162  0.03
P 0.5000 0.5531 0.1608  0.03
P 0.0000 0.0531 0.3392  0.03
P 0.5000 0.9657 0.2209  0.03
P 0.0000 0.5343 0.7209  0.03
P 0.0000 0.7890 0.9668  0.03
P 0.0000 0.9469 0.6608  0.03
P 0.5000 0.7110 0.4668  0.03
P 0.0000 0.2110 0.0332  0.03
P 0.5000 0.0343 0.7791  0.03
P 0.0000 0.4657 0.2791  0.03
P 0.5000 0.4469 0.8392  0.03
P 0.5000 0.2890 0.5332  0.03

Computed properties:
Space-group type   Pnnm, No. 58
Energy relative to the elements, uncorrected   -2345 meV/atom

No. 2
First-principles (meta-GGA SCAN) data for a crystal of MnP2PbO relaxed with PBEsol, as listed in Alexandria via LeMat-Bulk.

Lattice parameters (Å, degrees): 4.0696 5.1681 5.1681 90.00 90.00 90.00
Site moments in Bohr magnetons follow the coordinates.
Fractional coordinates of all 5 atoms:
Mn 0.5000 0.5000 0.5000  4.62
O 0.5000 0.0000 0.0000  -0.11
Pb 0.0000 0.0000 0.0000  0.01
P 0.0000 0.0000 0.5000  -0.38
P 0.0000 0.5000 0.0000  -0.38

Computed properties:
Space-group type   P4/mmm, No. 123
Energy relative to the elements, uncorrected   791 meV/atom

No. 3
First-principles (meta-GGA SCAN) data for a crystal of RbMnPO2 relaxed with PBEsol, as listed in Alexandria via LeMat-Bulk.

Lattice parameters (Å, degrees): 4.0752 4.0752 6.1790 90.00 90.00 90.00
Site moments in Bohr magnetons follow the coordinates.
Fractional coordinates of all 5 atoms:
P 0.0000 0.0000 0.5000  -0.55
Rb 0.0000 0.0000 0.0000  0.01
Mn 0.5000 0.5000 0.5000  4.55
O 0.0000 0.5000 0.0000  0.18
O 0.5000 0.0000 0.0000  0.18

Computed properties:
Space-group type   P4/mmm, No. 123
Offset from the most stable computed form   1.664 eV/atom
Energy relative to the elements, uncorrected   1058 meV/atom

No. 4
First-principles (meta-GGA SCAN) data for a crystal of RbMnPO4 relaxed with PBEsol, as listed in Alexandria via LeMat-Bulk.

Lattice parameters (Å, degrees): 5.4351 8.9069 9.1251 90.72 90.00 90.00
Site moments in Bohr magnetons follow the coordinates.
Fractional coordinates of all 28 atoms:
Mn 0.3583 0.3356 0.4306  4.52
Mn 0.8583 0.6644 0.5694  4.52
Mn 0.9166 0.1753 0.9117  4.50
Mn 0.4166 0.8247 0.0883  4.50
O 0.6723 0.2317 0.4921  0.04
O 0.1723 0.7683 0.5079  0.04
O 0.3852 0.0371 0.1582  0.04
O 0.6908 0.2352 0.0762  0.04
O 0.8369 0.3082 0.7420  0.04
O 0.1908 0.7648 0.9238  0.04
O 0.1240 0.1940 0.5458  0.04
O 0.8047 0.6889 0.7864  0.04
O 0.4754 0.5480 0.4822  0.05
O 0.6240 0.8060 0.4542  0.04
O 0.8852 0.9629 0.8418  0.04
O 0.7754 0.7840 0.0479  0.04
O 0.9754 0.4520 0.5178  0.05
O 0.3369 0.6918 0.2580  0.04
O 0.3047 0.3111 0.2136  0.04
O 0.2754 0.2160 0.9521  0.04
Rb 0.3738 0.4900 0.7947  0.00
Rb 0.9121 0.0087 0.3071  0.00
Rb 0.8738 0.5100 0.2053  0.00
Rb 0.4121 0.9913 0.6929  0.00
P 0.4138 0.1988 0.1000  0.03
P 0.9138 0.8012 0.9000  0.03
P 0.3965 0.7051 0.4235  0.02
P 0.8965 0.2949 0.5765  0.02

Computed properties:
Space-group type   P2_1, No. 4
Energy relative to the elements, uncorrected   -2461 meV/atom

No. 5
First-principles (meta-GGA SCAN) data for a crystal of RbMnPO2 relaxed with PBEsol, as listed in Alexandria via LeMat-Bulk.

Lattice parameters (Å, degrees): 3.9783 3.9783 4.4273 90.00 90.00 90.00
Site moments in Bohr magnetons follow the coordinates.
Fractional coordinates of all 5 atoms:
O 0.5000 0.0000 0.0000  0.07
O 0.0000 0.5000 0.0000  0.07
Mn 0.0000 0.0000 0.0000  2.64
P 0.0000 0.0000 0.5000  -0.65
Rb 0.5000 0.5000 0.5000  -0.10

Computed properties:
Space-group type   P4/mmm, No. 123
Offset from the most stable computed form   0.000 eV/atom
Energy relative to the elements, uncorrected   -605 meV/atom

No. 6
First-principles (meta-GGA SCAN) data for a crystal of MnSbPO2 relaxed with PBEsol, as listed in Alexandria via LeMat-Bulk.

Lattice parameters (Å, degrees): 3.7669 3.7669 4.6985 90.00 90.00 90.00
Site moments in Bohr magnetons follow the coordinates.
Fractional coordinates of all 5 atoms:
O 0.0000 0.5000 0.0000  0.08
O 0.5000 0.0000 0.0000  0.08
P 0.0000 0.0000 0.5000  -0.07
Mn 0.0000 0.0000 0.0000  2.86
Sb 0.5000 0.5000 0.5000  0.04

Computed properties:
Space-group type   P4/mmm, No. 123
Energy relative to the elements, uncorrected   -752 meV/atom

No. 7
First-principles (meta-GGA SCAN) data for a crystal of MnSb3P6O24 relaxed with PBEsol, as listed in Alexandria via LeMat-Bulk.

Lattice parameters (Å, degrees): 8.2940 8.2940 8.8796 62.16 62.16 60.00
Site moments in Bohr magnetons follow the coordinates.
Fractional coordinates of all 34 atoms:
P 0.0408 0.4553 0.7515  0.01
P 0.4553 0.7524 0.7515  0.01
P 0.7524 0.0408 0.7515  0.01
P 0.2458 0.9652 0.2528  0.01
P 0.5362 0.2458 0.2528  0.01
P 0.9652 0.5362 0.2528  0.01
O 0.3839 0.1970 0.4259  0.02
O 0.4608 0.8208 0.2040  0.00
O 0.4923 0.5328 0.7985  0.00
O 0.2147 0.1612 0.0963  0.00
O 0.1612 0.5278 0.0963  0.00
O 0.1764 0.4923 0.7985  0.00
O 0.1970 0.9932 0.4259  0.02
O 0.7893 0.0155 0.5744  0.00
O 0.2566 0.8846 0.7310  0.01
O 0.1277 0.2566 0.7310  0.01
O 0.4757 0.7851 0.9003  0.00
O 0.5278 0.2147 0.0963  0.00
O 0.7851 0.8389 0.9003  0.00
O 0.5144 0.4608 0.2040  0.00
O 0.5328 0.1764 0.7985  0.00
O 0.1118 0.8775 0.2642  0.00
O 0.0155 0.6209 0.5744  0.00
O 0.7464 0.1118 0.2642  0.00
O 0.6209 0.7893 0.5744  0.00
O 0.8389 0.4757 0.9003  0.00
O 0.8775 0.7464 0.2642  0.00
O 0.8208 0.5144 0.2040  0.00
O 0.9932 0.3839 0.4259  0.02
O 0.8846 0.1277 0.7310  0.01
Mn 0.1420 0.1420 0.5739  3.71
Sb 0.6496 0.6496 0.0511  0.01
Sb 0.3505 0.3505 0.9485  0.00
Sb 0.8568 0.8568 0.4296  0.00

Computed properties:
Space-group type   R3, No. 146
Energy relative to the elements, uncorrected   -2115 meV/atom